[1]
Tb2AgC2N6: optimized geometry, PBE.

abc: 5.8935 5.8935 5.9236
angles: 115.68 115.68 68.46
Atoms (fractional coordinates):
Tb 0.1825 0.1825 0.3092
Tb 0.8175 0.8175 0.6908
Ag 0.5000 0.5000 0.0000
C 0.1925 0.1925 0.7796
C 0.8075 0.8075 0.2204
N 0.0754 0.0754 0.8297
N 0.0908 0.4292 0.7481
N 0.4292 0.0908 0.7481
N 0.5708 0.9092 0.2519
N 0.9092 0.5708 0.2519
N 0.9246 0.9246 0.1703

Calculated values
Space group: C2/m, No. 12
Theoretical density: 5.44 g cm⁻³
Magnetization: 0.7 Bohr magnetons per cell



[2]
AgTe2CN: optimized geometry, PBE.

abc: 5.5024 5.5024 3.9115
angles: 90.00 90.00 90.00
Atoms (fractional coordinates):
Ag 0.0000 0.0000 0.0000
Te 0.0000 0.5000 0.0000
Te 0.5000 0.0000 0.0000
C 0.5000 0.5000 0.5000
N 0.0000 0.0000 0.5000

Calculated values
Space group: P4/mmm, No. 123
Theoretical density: 5.46 g cm⁻³
Magnetization: 1.9 Bohr magnetons per cell



Number 1: calculated total energy -82.37 eV for the cell shown. Number 2: calculated total energy -14.94 eV for the cell shown.